Pm4Nd3Sc2 | PBE | optimized geometry

Computed properties:
SG: C2/m, No. 12
ΔH_f (0 K) (eV per formula unit): 0.4
ρ (kg/m³): 6298
Crystal system: monoclinic

abc: 6.187 6.187 10.708
angles: 106.56 106.56 48.30
Sites, in units of the cell vectors:
Pm: 0.002 0.002 0.171
Pm: 0.332 0.332 0.610
Pm: 0.668 0.668 0.390
Pm: 0.998 0.998 0.829
Nd: 0.000 0.000 0.500
Nd: 0.331 0.331 0.945
Nd: 0.669 0.669 0.055
Sc: 0.333 0.333 0.278
Sc: 0.667 0.667 0.722